VASP calculation (PBE-GGA) on CsNa4Pb after structural relaxation.

CIF file:
```
data_CsNa4Pb
_chemical_formula_sum 'Cs4 Na16 Pb4'
_cell_length_a 6.2767
_cell_length_b 17.6350
_cell_length_c 9.0941
_cell_angle_alpha 90.00
_cell_angle_beta 90.00
_cell_angle_gamma 90.00
_space_group_name_H-M_alt 'C m c m'
_space_group_IT_number 63
_space_group_name_Hall '-C 2c 2'
loop_
_atom_site_label
_atom_site_type_symbol
_atom_site_fract_x
_atom_site_fract_y
_atom_site_fract_z
Cs1 Cs 0.0000 0.1104 0.2500
Na1 Na 0.0000 0.1066 0.7500
Na2 Na 0.0000 0.2738 0.5633
Na3 Na 0.0000 0.5000 0.0000
Pb1 Pb 0.0000 0.3533 0.2500
```

Output
- Crystal system: orthorhombic
- Energy relative to the elements: -28 meV per atom
- D(E_F): 0.532 states/eV per atom